[1]
Gd2LuNi | the Alexandria database | PBE | optimized geometry; formation energy from the elements = 0.11 eV per atom; DOS(E_F) = 5.34 states/eV/cell; energy above the most stable polymorph in this dataset = 0.2331 eV per atom
1.0
1.800 1.039 10.232
-1.800 1.039 10.232
0.000 -2.079 10.232
Gd Lu Ni
2 1 1
Cartesian
0.000 0.000 3.376
0.000 0.000 27.318
0.000 0.000 0.000
0.000 0.000 15.347



[2]
MnZnCrRh | the Alexandria database | PBE | optimized geometry; formation energy from the elements = -0.13 eV per atom; DOS(E_F) = 1.79 states/eV/cell
1.0
0.000 3.022 3.022
3.022 0.000 3.022
3.022 3.022 0.000
Mn Zn Cr Rh
1 1 1 1
Cartesian
0.000 0.000 0.000
3.022 3.022 3.022
4.533 4.533 4.533
1.511 1.511 1.511



[3]
PrNdPu2As4 | the Alexandria database | PBE | optimized geometry; formation energy from the elements = -1.23 eV per atom; DOS(E_F) = 27.91 states/eV/cell
1.0
7.284 0.000 0.000
0.000 4.217 0.000
-2.439 0.000 6.873
Pr Nd Pu As
1 1 2 4
Cartesian
0.000 0.000 0.000
-1.219 2.109 3.437
2.423 0.000 3.437
3.642 2.109 0.000
0.072 0.000 5.181
1.292 2.109 1.761
3.553 2.109 5.113
4.773 0.000 1.693